This record from Alexandria describes a relaxed structure of FeRe2PtF. The functional is GGA+U.

Lattice parameters (Å, degrees): 4.1276 4.1276 4.2253 90.00 90.00 90.00
Space group P4/mmm (No. 123)
Unique sites:
Fe 0.0000 0.0000 0.0000
Re 0.0000 0.5000 0.5000
Pt 0.5000 0.5000 0.0000
F 0.0000 0.0000 0.5000

## Properties
- total DFT energy (no corrections) (eV per atom) = -6.7190
- crystal system = tetragonal
- magnetization (μB per cell) = 4.07